1.
Compound: ScNi2W
Source: Alexandria
Functional: PBE-GGA
Structure: relaxed

Crystal system: orthorhombic
Total magnetic moment, μB per cell: 0.00
SG: Imm2, No. 44
Energy relative to the lowest polymorph listed for this composition, meV per atom: 139

abc: 2.769 4.438 9.432
angles: 90.00 90.00 90.00
Fractional positions:
Sc  0.000  0.000  0.000
Sc  0.500  0.500  0.500
Ni  0.000  0.000  0.515
Ni  0.000  0.500  0.233
Ni  0.500  0.000  0.733
Ni  0.500  0.500  0.015
W  0.000  0.500  0.780
W  0.500  0.000  0.280


2.
Compound: Pr3Pu4Se8
Source: Alexandria
Functional: PBE-GGA
Structure: relaxed

E_form (uncorrected), eV/atom: -1.66
Crystal system: monoclinic
Total magnetic moment, μB per cell: 0.21
SG: C2/m, No. 12

abc: 8.398 8.398 8.380
angles: 119.87 119.87 90.19
Fractional positions:
Pr  0.000  0.000  0.000
Pr  0.000  0.500  0.500
Pr  0.500  0.000  0.500
Pu  0.000  0.500  0.000
Pu  0.500  0.000  0.000
Pu  0.500  0.500  0.000
Pu  0.500  0.500  0.500
Se  0.250  0.750  0.500
Se  0.253  0.747  0.000
Se  0.254  0.254  0.002
Se  0.255  0.255  0.507
Se  0.745  0.745  0.493
Se  0.746  0.746  0.998
Se  0.747  0.253  0.000
Se  0.750  0.250  0.500


3.
Compound: TcP2F
Source: Alexandria
Functional: PBE-GGA
Structure: relaxed

E_form (uncorrected), eV/atom: -0.07
Crystal system: cubic
Total magnetic moment, μB per cell: 6.44
SG: Fm-3m, No. 225
Energy relative to the lowest polymorph listed for this composition, meV per atom: 74

abc: 5.939 5.939 5.939
angles: 90.00 90.00 90.00
Fractional positions:
Tc  0.000  0.000  0.000
Tc  0.000  0.500  0.500
Tc  0.500  0.000  0.500
Tc  0.500  0.500  0.000
P  0.250  0.250  0.250
P  0.250  0.250  0.750
P  0.250  0.750  0.250
P  0.250  0.750  0.750
P  0.750  0.250  0.250
P  0.750  0.250  0.750
P  0.750  0.750  0.250
P  0.750  0.750  0.750
F  0.000  0.000  0.500
F  0.000  0.500  0.000
F  0.500  0.000  0.000
F  0.500  0.500  0.500


4.
Compound: TaCo2CuNi
Source: Alexandria
Functional: PBE-GGA
Structure: relaxed

Electronic total energy, eV/cell: -29.84
Crystal system: tetragonal
Total magnetic moment, μB per cell: 0.01
SG: P4/mmm, No. 123

abc: 4.239 4.239 4.400
angles: 90.00 90.00 90.00
Fractional positions:
Ta  0.000  0.000  0.000
Co  0.000  0.500  0.500
Co  0.500  0.000  0.500
Cu  0.500  0.500  0.000
Ni  0.000  0.000  0.500


5.
Compound: TlCuN2
Source: Alexandria
Functional: PBE-GGA
Structure: relaxed

E_form (uncorrected), eV/atom: 1.23
Crystal system: trigonal
Total magnetic moment, μB per cell: 0.00
SG: R-3m, No. 166
Energy relative to the lowest polymorph listed for this composition, meV per atom: 203

abc: 3.496 3.496 17.762
angles: 90.00 90.00 120.00
Fractional positions:
Tl  0.000  0.000  0.000
Tl  0.333  0.667  0.667
Tl  0.667  0.333  0.333
Cu  0.000  0.000  0.500
Cu  0.333  0.667  0.167
Cu  0.667  0.333  0.833
N  0.000  0.000  0.400
N  0.000  0.000  0.600
N  0.333  0.667  0.067
N  0.333  0.667  0.267
N  0.667  0.333  0.733
N  0.667  0.333  0.933